Below is an optimized crystal structure of RbPd2O3, with properties calculated at the GGA-PBE level.

Cell lengths 6.2039, 6.2039, 18.7828 Å; angles 90.00, 90.00, 120.00 degrees
Space group R-3m (No. 166, hexagonal axes)
One atom of each set of equivalent atoms:
Rb: 0.0000 0.0000 0.1778
Pd: 0.0000 0.0000 0.0000
Pd: 0.0000 0.5000 0.0000
O: 0.0015 0.5007 0.2788

ΔE_f (raw) ... -71 kJ per mole of atoms
Total DFT energy (no corrections) ... -183.75 eV for the cell shown
M_tot ... 0.00 μB/f.u.